Below is an optimized crystal structure of AcLuSbPd, with properties calculated at the GGA-PBE level.

Calculated volume in A^3/atom: 27.24
Formation energy from raw total energies in eV per atom: -0.646

a b c (Å): 5.361 5.361 5.361
angles (deg): 60.00 60.00 60.00
Positions (direct):
Sb  0.500  0.500  0.500
Pd  0.000  0.000  0.000
Lu  0.250  0.250  0.250
Ac  0.750  0.750  0.750